Below is a geometry-optimized Hf2NiTe2 structure, with properties calculated at the PBE level.

Lattice parameters (Å, degrees): 7.075 7.075 7.075 141.17 141.17 56.08
Positions (direct):
1 Hf 0.616 0.616 0.000
2 Te 0.750 0.250 0.500
3 Ni 0.000 0.000 0.000
4 Te 0.250 0.750 0.500
5 Hf 0.384 0.384 0.000

Values from the calculation:
- Mass density: 8.1 g/cm³
- Space-group type: I4/mmm, No. 139
- Raw total energy: -5.84 eV/atom



Below is a geometry-optimized Hf2NiTe structure, with properties calculated at the PBE level.

Lattice parameters (Å, degrees): 4.781 4.781 4.781 60.00 60.00 60.00
Positions (direct):
1 Te 0.500 0.500 0.500
2 Ni 0.250 0.250 0.250
3 Hf 0.000 0.000 0.000
4 Hf 0.750 0.750 0.750

Values from the calculation:
- Mass density: 11.7 g/cm³
- Space-group type: F-43m, No. 216
- Raw total energy: -6.87 eV/atom



Below is a geometry-optimized HfThNi structure, with properties calculated at the PBE level.

Lattice parameters (Å, degrees): 4.635 4.635 4.635 60.00 60.00 60.00
Positions (direct):
1 Hf 0.750 0.750 0.750
2 Ni 0.000 0.000 0.000
3 Th 0.250 0.250 0.250

Values from the calculation:
- Mass density: 11.1 g/cm³
- Formation enthalpy at 0 K: 0.08 eV/atom
- Space-group type: F-43m, No. 216
- Raw total energy: -7.57 eV/atom



Below is a geometry-optimized HfTlNi structure, with properties calculated at the PBE level.

Lattice parameters (Å, degrees): 4.376 4.376 4.376 60.00 60.00 60.00
Positions (direct):
1 Ni 0.000 0.000 0.000
2 Tl 0.750 0.750 0.750
3 Hf 0.250 0.250 0.250

Values from the calculation:
- Mass density: 12.4 g/cm³
- Space-group type: F-43m, No. 216
- Raw total energy: -6.02 eV/atom



Below is a geometry-optimized Hf2TlNi structure, with properties calculated at the PBE level.

Lattice parameters (Å, degrees): 4.793 4.793 4.793 60.00 60.00 60.00
Positions (direct):
1 Hf 0.750 0.750 0.750
2 Ni 0.250 0.250 0.250
3 Tl 0.500 0.500 0.500
4 Hf 0.000 0.000 0.000

Values from the calculation:
- Mass density: 13.2 g/cm³
- Space-group type: F-43m, No. 216
- Raw total energy: -6.62 eV/atom



Below is a geometry-optimized HfTlNi2 structure, with properties calculated at the PBE level.

Lattice parameters (Å, degrees): 4.516 4.516 4.516 60.00 60.00 60.00
Positions (direct):
1 Ni 0.000 0.000 0.000
2 Hf 0.250 0.250 0.250
3 Ni 0.750 0.750 0.750
4 Tl 0.500 0.500 0.500

Values from the calculation:
- Mass density: 12.8 g/cm³
- Space-group type: F-43m, No. 216
- Raw total energy: -5.76 eV/atom